A relaxed structure of Y2VSnC. Source: Alexandria, functional PBE.

The structure in POSCAR format:
```
Y2VSnC
1.0
4.9590 0.0000 0.0000
0.0000 4.9590 0.0000
0.0000 0.0000 4.1037
Y V Sn C
2 1 1 1
direct
0.0000 0.5000 0.0000
0.5000 0.0000 0.0000
0.0000 0.0000 0.5000
0.5000 0.5000 0.5000
0.0000 0.0000 0.0000
```

Computed properties:
- crystal system = tetragonal
- DOS(E_F) (states/eV/f.u.) = 3.24
- E_tot (eV/atom) = -7.512
- energy relative to the elements (eV per atom) = -0.457